## w
Material: NaGa6Sn2
Method: DFT, PBE
State: relaxed

Structure (CIF):
```
data_NaGa6Sn2
_chemical_formula_sum 'Na2 Ga12 Sn4'
_space_group_name_H-M_alt 'C 1 2/m 1'
_space_group_IT_number 12
_space_group_name_Hall '-C 2y'
_cell_length_a 14.583
_cell_length_b 7.286
_cell_length_c 4.019
_cell_angle_alpha 90.00
_cell_angle_beta 102.72
_cell_angle_gamma 90.00
loop_
_atom_site_label
_atom_site_type_symbol
_atom_site_fract_x
_atom_site_fract_y
_atom_site_fract_z
Na1 Na 0.000 0.000 0.000
Ga1 Ga 0.000 0.315 0.500
Ga2 Ga 0.185 0.188 0.676
Sn1 Sn 0.129 0.500 0.107
```



## x
Material: NaGa6Sn2
Method: DFT, PBE
State: relaxed

Structure (CIF):
```
data_NaGa6Sn2
_chemical_formula_sum 'Na1 Ga6 Sn2'
_space_group_name_H-M_alt 'P 4/m m m'
_space_group_IT_number 123
_space_group_name_Hall '-P 4 2'
_cell_length_a 4.034
_cell_length_b 4.034
_cell_length_c 12.335
_cell_angle_alpha 90.00
_cell_angle_beta 90.00
_cell_angle_gamma 90.00
loop_
_atom_site_label
_atom_site_type_symbol
_atom_site_fract_x
_atom_site_fract_y
_atom_site_fract_z
Na1 Na 0.000 0.000 0.000
Ga1 Ga 0.000 0.000 0.500
Ga2 Ga 0.000 0.500 0.315
Ga3 Ga 0.500 0.500 0.500
Sn1 Sn 0.500 0.500 0.138
```



Most stable: x. Least stable: w.